1.
PmScIrAu: optimized geometry, PBE-GGA.

Cell: 4.9137 4.9137 4.9137 Å, 60.00 60.00 60.00°
Fractional positions:
Pm1 0.0000 0.0000 0.0000
Sc1 0.5000 0.5000 0.5000
Ir1 0.7500 0.7500 0.7500
Au1 0.2500 0.2500 0.2500

SG = F-43m
energy = -6.51 eV per atom
mass density = 11.5 Mg/m³
DFT formation energy = -2.82 eV per formula unit



2.
Pm4IrAuSe2: optimized geometry, PBE-GGA.

Cell: 7.1816 4.1250 7.6491 Å, 90.00 107.58 90.00°
Fractional positions:
Pm1 0.2332 0.0000 0.2314
Pm2 0.2372 0.5000 0.7625
Pm3 0.7628 0.5000 0.2375
Pm4 0.7668 0.0000 0.7686
Ir1 0.0000 0.5000 0.0000
Au1 0.5000 0.0000 0.0000
Se1 0.0000 0.0000 0.5000
Se2 0.5000 0.5000 0.5000

SG = P2/m
energy = -6.00 eV per atom
mass density = 8.7 Mg/m³



3.
Pm6Ir2AuSe3: optimized geometry, PBE-GGA.

Cell: 7.1622 7.1622 7.6351 Å, 99.00 99.00 119.97°
Fractional positions:
Pm1 0.0676 0.4225 0.7675
Pm2 0.2219 0.2219 0.2299
Pm3 0.4225 0.0676 0.7675
Pm4 0.5775 0.9324 0.2325
Pm5 0.7781 0.7781 0.7701
Pm6 0.9324 0.5775 0.2325
Ir1 0.1674 0.8326 0.0000
Ir2 0.8326 0.1674 0.0000
Au1 0.5000 0.5000 0.0000
Se1 0.0000 0.0000 0.5000
Se2 0.3384 0.6616 0.5000
Se3 0.6616 0.3384 0.5000

SG = C2/m
energy = -6.24 eV per atom
mass density = 8.7 Mg/m³



4.
PmSmIrAu: optimized geometry, PBE-GGA.

Cell: 4.5712 5.7402 5.7402 Å, 39.98 90.00 90.00°
Fractional positions:
Pm1 0.0000 0.0000 0.0000
Sm1 0.5000 0.7219 0.7219
Ir1 0.0000 0.2695 0.2695
Au1 0.5000 0.4414 0.4414

SG = Amm2
energy = -6.15 eV per atom
distance to the lowest polymorph of the same formula = 0.0000 eV per atom
mass density = 11.7 Mg/m³
DFT formation energy = -3.01 eV per formula unit



5.
PmSmIrAu: optimized geometry, PBE-GGA.

Cell: 5.0814 5.0814 5.0814 Å, 60.00 60.00 60.00°
Fractional positions:
Pm1 0.0000 0.0000 0.0000
Sm1 0.5000 0.5000 0.5000
Ir1 0.7500 0.7500 0.7500
Au1 0.2500 0.2500 0.2500

SG = F-43m
energy = -6.11 eV per atom
distance to the lowest polymorph of the same formula = 0.0400 eV per atom
mass density = 12.3 Mg/m³
DFT formation energy = -2.85 eV per formula unit



6.
PmSnIrAu: optimized geometry, PBE-GGA.

Cell: 4.9244 4.9244 4.9244 Å, 60.00 60.00 60.00°
Fractional positions:
Pm1 0.0000 0.0000 0.0000
Sn1 0.5000 0.5000 0.5000
Ir1 0.7500 0.7500 0.7500
Au1 0.2500 0.2500 0.2500

SG = F-43m
energy = -5.66 eV per atom
mass density = 12.8 Mg/m³
DFT formation energy = -1.75 eV per formula unit



7.
TbPmIrAu: optimized geometry, PBE-GGA.

Cell: 5.0415 5.0415 5.0415 Å, 60.00 60.00 60.00°
Fractional positions:
Tb1 0.0000 0.0000 0.0000
Pm1 0.5000 0.5000 0.5000
Ir1 0.7500 0.7500 0.7500
Au1 0.2500 0.2500 0.2500

SG = F-43m
energy = -6.13 eV per atom
distance to the lowest polymorph of the same formula = 0.0296 eV per atom
mass density = 12.7 Mg/m³
DFT formation energy = -3.00 eV per formula unit



8.
TbPmIrAu: optimized geometry, PBE-GGA.

Cell: 4.5652 5.6876 5.6876 Å, 39.82 90.00 90.00°
Fractional positions:
Tb1 0.0000 0.0000 0.0000
Pm1 0.5000 0.7213 0.7213
Ir1 0.5000 0.4530 0.4530
Au1 0.0000 0.2812 0.2812

SG = Amm2
energy = -6.16 eV per atom
distance to the lowest polymorph of the same formula = 0.0000 eV per atom
mass density = 12.2 Mg/m³
DFT formation energy = -3.11 eV per formula unit



9.
Pm8Te4Ir3Au: optimized geometry, PBE-GGA.

Cell: 8.9321 8.9321 8.9321 Å, 56.86 56.86 56.86°
Fractional positions:
Pm1 0.2213 0.7454 0.7454
Pm2 0.2367 0.2367 0.2367
Pm3 0.2546 0.2546 0.7787
Pm4 0.2546 0.7787 0.2546
Pm5 0.7454 0.2213 0.7454
Pm6 0.7454 0.7454 0.2213
Pm7 0.7633 0.7633 0.7633
Pm8 0.7787 0.2546 0.2546
Te1 0.0000 0.0000 0.0000
Te2 0.0000 0.5000 0.5000
Te3 0.5000 0.0000 0.5000
Te4 0.5000 0.5000 0.0000
Ir1 0.0000 0.0000 0.5000
Ir2 0.0000 0.5000 0.0000
Ir3 0.5000 0.0000 0.0000
Au1 0.5000 0.5000 0.5000

SG = R-3m
energy = -6.07 eV per atom
mass density = 8.7 Mg/m³



10.
PmThIrAu: optimized geometry, PBE-GGA.

Cell: 4.2096 6.2898 6.2898 Å, 36.95 90.00 90.00°
Fractional positions:
Pm1 0.0000 0.0000 0.0000
Th1 0.5000 0.7199 0.7199
Ir1 0.0000 0.2473 0.2473
Au1 0.5000 0.4319 0.4319

SG = Amm2
energy = -6.94 eV per atom
distance to the lowest polymorph of the same formula = 0.0000 eV per atom
mass density = 12.7 Mg/m³
DFT formation energy = -3.46 eV per formula unit



11.
PmThIrAu: optimized geometry, PBE-GGA.

Cell: 5.1301 5.1301 5.1301 Å, 60.00 60.00 60.00°
Fractional positions:
Pm1 0.0000 0.0000 0.0000
Th1 0.5000 0.5000 0.5000
Ir1 0.2500 0.2500 0.2500
Au1 0.7500 0.7500 0.7500

SG = F-43m
energy = -6.75 eV per atom
distance to the lowest polymorph of the same formula = 0.1911 eV per atom
mass density = 13.3 Mg/m³
DFT formation energy = -2.69 eV per formula unit



12.
PmZrIrAu: optimized geometry, PBE-GGA.

Cell: 4.9290 4.9290 4.9290 Å, 60.00 60.00 60.00°
Fractional positions:
Pm1 0.0000 0.0000 0.0000
Zr1 0.5000 0.5000 0.5000
Ir1 0.2500 0.2500 0.2500
Au1 0.7500 0.7500 0.7500

SG = F-43m
energy = -6.91 eV per atom
mass density = 12.3 Mg/m³
DFT formation energy = -2.22 eV per formula unit